No. 1
VASP calculation (GGA-PBE) on a relaxed structure of MgFePb2.

Lattice parameters (Å, degrees): 3.5892 5.5262 9.5196 90.00 90.00 90.00
Closest atoms and distances in Å follow each position.
Space group Immm (No. 71)
One atom of each set of equivalent atoms:
Mg 0.0000 0.0000 0.0000 [2 per cell]  8 Pb 3.19-3.48, 4 Fe 3.29
Fe 0.0000 0.0000 0.5000 [2 per cell]  4 Pb 2.78
Pb 0.0000 0.5000 0.2226 [4 per cell]  2 Fe 2.78

Calculated values
The calculated density comes out at 8698 kg/m³. The energy of formation from the pure elements comes out at 0.37 eV per atom.


No. 2
VASP calculation (GGA-PBE) on a relaxed structure of CsPr6S8.

Lattice parameters (Å, degrees): 11.1987 11.1987 4.1684 90.00 90.00 120.00
Closest atoms and distances in Å follow each position.
Space group P-3 (No. 147)
One atom of each set of equivalent atoms:
Cs 0.0000 0.0000 0.0000 [1 per cell]  6 S 4.00, 2 Cs 4.17
Pr 0.1397 0.4766 0.2520 [6 per cell]  6 S 2.84-2.99
S 0.0471 0.6805 0.2471 [6 per cell]  4 Pr 2.84-2.94
S 0.3333 0.6667 0.7523 [2 per cell]  6 Pr 2.99

Calculated values
The calculated density comes out at 4529 kg/m³. Its uncorrected formation energy is -1.86 eV/atom.